The following is a PBE calculation of SrCrIn2 after structural relaxation, from Alexandria.

Energy, eV per atom: -4.16

Geometry as CIF:
```
data_SrCrIn2
_chemical_formula_sum 'Sr2 Cr2 In4'
_symmetry_space_group_name_H-M 'C 1 m 1'
_symmetry_Int_Tables_number 8
_cell_length_a 8.309
_cell_length_b 4.804
_cell_length_c 6.476
_cell_angle_alpha 90.00
_cell_angle_beta 115.47
_cell_angle_gamma 90.00
loop_
_symmetry_equiv_pos_as_xyz
'x,y,z'
'x,-y,z'
'x+1/2,y+1/2,z'
'x+1/2,-y+1/2,z'
loop_
_atom_site_label
_atom_site_fract_x
_atom_site_fract_y
_atom_site_fract_z
Sr1 0.000 0.000 0.000
Cr1 0.309 0.500 0.425
In1 0.208 0.000 0.621
In2 0.458 0.000 0.373
```

***

The following is a PBE calculation of SrCrIn2 after structural relaxation, from Alexandria.

Energy, eV per atom: -3.95

Geometry as CIF:
```
data_SrCrIn2
_chemical_formula_sum 'Sr2 Cr2 In4'
_symmetry_space_group_name_H-M 'C m m m'
_symmetry_Int_Tables_number 65
_symmetry_space_group_name_Hall '-C 2 2'
_cell_length_a 6.469
_cell_length_b 9.612
_cell_length_c 3.412
_cell_angle_alpha 90.00
_cell_angle_beta 90.00
_cell_angle_gamma 90.00
loop_
_atom_site_label
_atom_site_fract_x
_atom_site_fract_y
_atom_site_fract_z
Sr1 0.000 0.000 0.000
Cr1 0.000 0.500 0.000
In1 0.250 0.250 0.500
```

***

The following is a PBE calculation of SrCrIn3 after structural relaxation, from Alexandria.

Energy, eV per atom: -2.13
Polymorph energy (0 for the lowest one), meV per atom: 1757.8

Geometry as CIF:
```
data_SrCrIn3
_chemical_formula_sum 'Sr1 Cr1 In3'
_symmetry_space_group_name_H-M 'P m -3 m'
_symmetry_Int_Tables_number 221
_symmetry_space_group_name_Hall '-P 4 2 3'
_cell_length_a 5.940
_cell_length_b 5.940
_cell_length_c 5.940
_cell_angle_alpha 90.00
_cell_angle_beta 90.00
_cell_angle_gamma 90.00
loop_
_atom_site_label
_atom_site_fract_x
_atom_site_fract_y
_atom_site_fract_z
Sr1 0.000 0.000 0.000
Cr1 0.500 0.500 0.500
In1 0.000 0.000 0.500
```

***

The following is a PBE calculation of Sr2CrIn after structural relaxation, from Alexandria.

Energy, eV per atom: -3.44

Geometry as CIF:
```
data_Sr2CrIn
_chemical_formula_sum 'Sr8 Cr4 In4'
_symmetry_space_group_name_H-M 'I -4 2 d'
_symmetry_Int_Tables_number 122
_symmetry_space_group_name_Hall 'I -4 2bw'
_cell_length_a 8.998
_cell_length_b 8.998
_cell_length_c 7.056
_cell_angle_alpha 90.00
_cell_angle_beta 90.00
_cell_angle_gamma 90.00
loop_
_atom_site_label
_atom_site_fract_x
_atom_site_fract_y
_atom_site_fract_z
Sr1 0.240 0.250 0.125
Cr1 0.000 0.000 0.000
In1 0.000 0.000 0.500
```

***

The following is a PBE calculation of SrCrIn2 after structural relaxation, from Alexandria.

Energy, eV per atom: -4.06

Geometry as CIF:
```
data_SrCrIn2
_chemical_formula_sum 'Sr1 Cr1 In2'
_symmetry_space_group_name_H-M 'P 1 m 1'
_symmetry_Int_Tables_number 6
_cell_length_a 3.595
_cell_length_b 4.651
_cell_length_c 6.606
_cell_angle_alpha 90.00
_cell_angle_beta 90.19
_cell_angle_gamma 90.00
loop_
_symmetry_equiv_pos_as_xyz
'x,y,z'
'x,-y,z'
loop_
_atom_site_label
_atom_site_fract_x
_atom_site_fract_y
_atom_site_fract_z
Sr1 0.000 0.000 0.000
Cr1 0.996 0.500 0.399
In1 0.498 0.000 0.462
In2 0.498 0.500 0.750
```

***

The following is a PBE calculation of Sr2CrIn after structural relaxation, from Alexandria.

Energy, eV per atom: -3.54

Geometry as CIF:
```
data_Sr2CrIn
_chemical_formula_sum 'Sr6 Cr3 In3'
_symmetry_space_group_name_H-M 'R -3 m'
_symmetry_Int_Tables_number 166
_symmetry_space_group_name_Hall '-R 3 2"'
_cell_length_a 4.0063
_cell_length_b 4.0063
_cell_length_c 31.2833
_cell_angle_alpha 90.00
_cell_angle_beta 90.00
_cell_angle_gamma 120.00
loop_
_atom_site_label
_atom_site_fract_x
_atom_site_fract_y
_atom_site_fract_z
Sr1 0.0000 0.0000 0.2494
Cr1 0.0000 0.0000 0.5000
In1 0.0000 0.0000 0.0000
```

***

The following is a PBE calculation of SrCr3In after structural relaxation, from Alexandria.

Energy, eV per atom: -4.58
Polymorph energy (0 for the lowest one), meV per atom: 1003.9

Geometry as CIF:
```
data_SrCr3In
_chemical_formula_sum 'Sr1 Cr3 In1'
_symmetry_space_group_name_H-M 'P m -3 m'
_symmetry_Int_Tables_number 221
_symmetry_space_group_name_Hall '-P 4 2 3'
_cell_length_a 5.771
_cell_length_b 5.771
_cell_length_c 5.771
_cell_angle_alpha 90.00
_cell_angle_beta 90.00
_cell_angle_gamma 90.00
loop_
_atom_site_label
_atom_site_fract_x
_atom_site_fract_y
_atom_site_fract_z
Sr1 0.000 0.000 0.000
Cr1 0.000 0.000 0.500
In1 0.500 0.500 0.500
```

***

The following is a PBE calculation of SrCr2In after structural relaxation, from Alexandria.

Energy, eV per atom: -5.08

Geometry as CIF:
```
data_SrCr2In
_chemical_formula_sum 'Sr4 Cr8 In4'
_symmetry_space_group_name_H-M 'I 41/a m d'
_symmetry_Int_Tables_number 141
_cell_length_a 4.746
_cell_length_b 4.746
_cell_length_c 19.421
_cell_angle_alpha 90.00
_cell_angle_beta 90.00
_cell_angle_gamma 90.00
loop_
_symmetry_equiv_pos_as_xyz
'x,y,z'
'-x,-y,-z'
'-y+1/4,x+3/4,z+1/4'
'y+1/4,-x+3/4,-z+1/4'
'-x+1/2,-y,z+1/2'
'x+1/2,y,-z+1/2'
'y+1/4,-x+1/4,z+3/4'
'-y+1/4,x+1/4,-z+3/4'
'x,-y,-z'
'-x,y,z'
'-y+1/4,-x+1/4,-z+3/4'
'y+1/4,x+1/4,z+3/4'
'-x+1/2,y,-z+1/2'
'x+1/2,-y,z+1/2'
'y+1/4,x+3/4,-z+1/4'
'-y+1/4,-x+3/4,z+1/4'
'x+1/2,y+1/2,z+1/2'
'-x+1/2,-y+1/2,-z+1/2'
'-y+3/4,x+1/4,z+3/4'
'y+3/4,-x+1/4,-z+3/4'
'-x,-y+1/2,z'
'x,y+1/2,-z'
'y+3/4,-x+3/4,z+1/4'
'-y+3/4,x+3/4,-z+1/4'
'x+1/2,-y+1/2,-z+1/2'
'-x+1/2,y+1/2,z+1/2'
'-y+3/4,-x+3/4,-z+1/4'
'y+3/4,x+3/4,z+1/4'
'-x,y+1/2,-z'
'x,-y+1/2,z'
'y+3/4,x+1/4,-z+3/4'
'-y+3/4,-x+1/4,z+3/4'
loop_
_atom_site_label
_atom_site_fract_x
_atom_site_fract_y
_atom_site_fract_z
Sr1 0.000 0.250 0.375
Cr1 0.000 0.000 0.000
In1 0.000 0.250 0.875
```